# 1
Below is crystalline Ta3Nb4Fe at its relaxed geometry, with properties calculated at the PBE-GGA level.

Results
ΔE_f: -0.02 eV/atom

CIF file:
```
data_Ta3Nb4Fe
_chemical_formula_sum 'Ta3 Nb4 Fe1'
_space_group_name_H-M_alt 'P 1'
_space_group_IT_number 1
_cell_length_a 3.256
_cell_length_b 3.256
_cell_length_c 13.115
_cell_angle_alpha 90.00
_cell_angle_beta 90.00
_cell_angle_gamma 90.00
loop_
_space_group_symop_operation_xyz
'x,y,z'
loop_
_atom_site_label
_atom_site_type_symbol
_atom_site_fract_x
_atom_site_fract_y
_atom_site_fract_z
Nb1 Nb 0.000 0.000 0.369
Nb2 Nb 0.000 0.000 0.631
Nb3 Nb 0.000 0.000 0.887
Nb4 Nb 0.000 0.000 0.113
Fe1 Fe 0.500 0.500 0.000
Ta1 Ta 0.500 0.500 0.500
Ta2 Ta 0.500 0.500 0.243
Ta3 Ta 0.500 0.500 0.757
```


# 2
Below is crystalline Ta6Nb2Fe at its relaxed geometry, with properties calculated at the PBE-GGA level.

Results
ΔE_f: 0.14 eV/atom
relative energy among the computed polymorphs: 0.0 meV per atom

CIF file:
```
data_Ta6Nb2Fe
_chemical_formula_sum 'Ta12 Nb4 Fe2'
_space_group_name_H-M_alt 'P 1'
_space_group_IT_number 1
_cell_length_a 4.792
_cell_length_b 8.422
_cell_length_c 8.422
_cell_angle_alpha 109.18
_cell_angle_beta 90.00
_cell_angle_gamma 90.00
loop_
_space_group_symop_operation_xyz
'x,y,z'
loop_
_atom_site_label
_atom_site_type_symbol
_atom_site_fract_x
_atom_site_fract_y
_atom_site_fract_z
Ta1 Ta 0.500 0.953 0.287
Ta2 Ta 0.000 0.831 0.399
Ta3 Ta 0.000 0.489 0.322
Ta4 Ta 0.000 0.169 0.601
Ta5 Ta 0.500 0.399 0.830
Ta6 Ta 0.000 0.287 0.953
Ta7 Ta 0.000 0.713 0.047
Ta8 Ta 0.500 0.678 0.511
Ta9 Ta 0.500 0.601 0.170
Ta10 Ta 0.500 0.322 0.489
Ta11 Ta 0.500 0.047 0.713
Ta12 Ta 0.000 0.511 0.678
Fe1 Fe 0.750 0.000 0.000
Fe2 Fe 0.250 0.000 0.000
Nb1 Nb 0.000 0.139 0.270
Nb2 Nb 0.500 0.730 0.861
Nb3 Nb 0.000 0.861 0.730
Nb4 Nb 0.500 0.270 0.139
```


# 3
Below is crystalline Ta2Nb5Fe at its relaxed geometry, with properties calculated at the PBE-GGA level.

Results
ΔE_f: -0.03 eV/atom

CIF file:
```
data_Ta2Nb5Fe
_chemical_formula_sum 'Ta4 Nb10 Fe2'
_space_group_name_H-M_alt 'P 1'
_space_group_IT_number 1
_cell_length_a 3.269
_cell_length_b 6.498
_cell_length_c 13.041
_cell_angle_alpha 90.00
_cell_angle_beta 90.00
_cell_angle_gamma 90.00
loop_
_space_group_symop_operation_xyz
'x,y,z'
loop_
_atom_site_label
_atom_site_type_symbol
_atom_site_fract_x
_atom_site_fract_y
_atom_site_fract_z
Nb1 Nb 0.000 0.000 0.000
Nb2 Nb 0.500 0.750 0.123
Nb3 Nb 0.500 0.750 0.623
Nb4 Nb 0.000 0.500 0.500
Nb5 Nb 0.000 0.511 0.250
Nb6 Nb 0.500 0.250 0.877
Nb7 Nb 0.000 0.011 0.250
Nb8 Nb 0.500 0.250 0.377
Nb9 Nb 0.000 0.489 0.750
Nb10 Nb 0.000 0.989 0.750
Fe1 Fe 0.000 0.500 0.000
Fe2 Fe 0.000 0.000 0.500
Ta1 Ta 0.500 0.766 0.381
Ta2 Ta 0.500 0.266 0.119
Ta3 Ta 0.500 0.734 0.881
Ta4 Ta 0.500 0.234 0.619
```


# 4
Below is crystalline Ta2NbFe at its relaxed geometry, with properties calculated at the PBE-GGA level.

Results
ΔE_f: -0.04 eV/atom

CIF file:
```
data_Ta2NbFe
_chemical_formula_sum 'Ta4 Nb2 Fe2'
_space_group_name_H-M_alt 'P 1'
_space_group_IT_number 1
_cell_length_a 3.059
_cell_length_b 5.336
_cell_length_c 8.561
_cell_angle_alpha 90.00
_cell_angle_beta 90.00
_cell_angle_gamma 106.79
loop_
_space_group_symop_operation_xyz
'x,y,z'
loop_
_atom_site_label
_atom_site_type_symbol
_atom_site_fract_x
_atom_site_fract_y
_atom_site_fract_z
Ta1 Ta 0.368 0.734 0.951
Ta2 Ta 0.632 0.266 0.049
Ta3 Ta 0.368 0.734 0.549
Ta4 Ta 0.632 0.266 0.451
Nb1 Nb 0.919 0.839 0.250
Nb2 Nb 0.081 0.161 0.750
Fe1 Fe 0.781 0.561 0.750
Fe2 Fe 0.219 0.439 0.250
```